(1)
VASP calculation (PBE) on a relaxed structure of Tm3InAg2.

* magnetization: 0.0 μB/cell
* SG: P4/mmm, No. 123
* E_tot: -24.09 eV for the cell shown

Lattice parameters (Å, degrees): 3.5625 3.5625 11.2303 90.00 90.00 90.00
With the nearest neighbours (Å) after each atom.
Sites, in units of the cell vectors:
Tm 0.0000 0.0000 0.0000  8 Ag 3.11
Tm 0.0000 0.0000 0.3207  4 Ag 3.08, 4 In 3.22
Tm 0.0000 0.0000 0.6793  4 Ag 3.08, 4 In 3.22
In 0.5000 0.5000 0.5000  8 Tm 3.22, 4 In 3.56
Ag 0.5000 0.5000 0.1624  8 Tm 3.08-3.11
Ag 0.5000 0.5000 0.8376  8 Tm 3.08-3.11

***

(2)
VASP calculation (PBE) on a relaxed structure of TmInAg.

* magnetization: 0.0 μB/cell
* SG: F-43m, No. 216
* E_tot: -10.84 eV for the cell shown

Lattice parameters (Å, degrees): 4.7487 4.7487 4.7487 60.00 60.00 60.00
With the nearest neighbours (Å) after each atom.
Sites, in units of the cell vectors:
Tm 0.0000 0.0000 0.0000  4 Ag 2.91
In 0.5000 0.5000 0.5000  4 Ag 2.91
Ag 0.7500 0.7500 0.7500  4 In 2.91, 4 Tm 2.91